1.
# Ta2Si2W, optimized geometry, DFT PBE
data_Ta2Si2W
_chemical_formula_sum 'Ta4 Si4 W2'
_symmetry_space_group_name_H-M 'P 4/m b m'
_symmetry_Int_Tables_number 127
_symmetry_space_group_name_Hall '-P 4 2ab'
_cell_length_a 6.578
_cell_length_b 6.578
_cell_length_c 3.560
_cell_angle_alpha 90.00
_cell_angle_beta 90.00
_cell_angle_gamma 90.00
loop_
_atom_site_label
_atom_site_fract_x
_atom_site_fract_y
_atom_site_fract_z
_atom_site_occupancy
Ta1 0.168 0.332 0.000 1
Si1 0.131 0.631 0.500 1
W1 0.000 0.000 0.500 1
# **Raw formation energy**: -427 meV per atom
# **DOS at the Fermi energy**: 0.558 states/eV/atom


2.
# TaSi2W, optimized geometry, DFT PBE
data_TaSi2W
_chemical_formula_sum 'Ta1 Si2 W1'
_symmetry_space_group_name_H-M 'P 4 m m'
_symmetry_Int_Tables_number 99
_symmetry_space_group_name_Hall 'P 4 -2'
_cell_length_a 2.718
_cell_length_b 2.718
_cell_length_c 8.546
_cell_angle_alpha 90.00
_cell_angle_beta 90.00
_cell_angle_gamma 90.00
loop_
_atom_site_label
_atom_site_fract_x
_atom_site_fract_y
_atom_site_fract_z
_atom_site_occupancy
Ta1 0.000 0.000 0.000 1
Si1 0.000 0.000 0.505 1
Si2 0.500 0.500 0.765 1
W1 0.500 0.500 0.275 1
# **Raw formation energy**: 227 meV per atom
# **DOS at the Fermi energy**: 0.520 states/eV/atom


3.
# Ta2SiW, optimized geometry, DFT PBE
data_Ta2SiW
_chemical_formula_sum 'Ta4 Si2 W2'
_symmetry_space_group_name_H-M 'I 4/m m m'
_symmetry_Int_Tables_number 139
_symmetry_space_group_name_Hall '-I 4 2'
_cell_length_a 4.190
_cell_length_b 4.190
_cell_length_c 7.513
_cell_angle_alpha 90.00
_cell_angle_beta 90.00
_cell_angle_gamma 90.00
loop_
_atom_site_label
_atom_site_fract_x
_atom_site_fract_y
_atom_site_fract_z
_atom_site_occupancy
Ta1 0.000 0.500 0.250 1
Si1 0.000 0.000 0.000 1
W1 0.000 0.000 0.500 1
# **Raw formation energy**: -38 meV per atom
# **DOS at the Fermi energy**: 0.512 states/eV/atom


4.
# TaSiW2, optimized geometry, DFT PBE
data_TaSiW2
_chemical_formula_sum 'Ta3 Si3 W6'
_symmetry_space_group_name_H-M 'R 3 m'
_symmetry_Int_Tables_number 160
_symmetry_space_group_name_Hall 'R 3 -2"'
_cell_length_a 2.8450
_cell_length_b 2.8450
_cell_length_c 27.6393
_cell_angle_alpha 90.00
_cell_angle_beta 90.00
_cell_angle_gamma 120.00
loop_
_atom_site_label
_atom_site_fract_x
_atom_site_fract_y
_atom_site_fract_z
_atom_site_occupancy
Ta1 0.0000 0.0000 0.0000 1
Si1 0.0000 0.0000 0.2528 1
W1 0.0000 0.0000 0.5099 1
W2 0.0000 0.0000 0.7569 1
# **Raw formation energy**: 256 meV per atom
# **DOS at the Fermi energy**: 0.742 states/eV/atom


5.
# TaSiW2, optimized geometry, DFT PBE
data_TaSiW2
_chemical_formula_sum 'Ta1 Si1 W2'
_symmetry_space_group_name_H-M 'P 4/m m m'
_symmetry_Int_Tables_number 123
_symmetry_space_group_name_Hall '-P 4 2'
_cell_length_a 3.320
_cell_length_b 3.320
_cell_length_c 5.761
_cell_angle_alpha 90.00
_cell_angle_beta 90.00
_cell_angle_gamma 90.00
loop_
_atom_site_label
_atom_site_fract_x
_atom_site_fract_y
_atom_site_fract_z
_atom_site_occupancy
Ta1 0.000 0.000 0.000 1
Si1 0.000 0.000 0.500 1
W1 0.500 0.500 0.270 1
# **Raw formation energy**: -46 meV per atom
# **DOS at the Fermi energy**: 0.612 states/eV/atom


6.
# TaSiW2, optimized geometry, DFT PBE
data_TaSiW2
_chemical_formula_sum 'Ta1 Si1 W2'
_symmetry_space_group_name_H-M 'P 4/m m m'
_symmetry_Int_Tables_number 123
_symmetry_space_group_name_Hall '-P 4 2'
_cell_length_a 4.286
_cell_length_b 4.286
_cell_length_c 3.431
_cell_angle_alpha 90.00
_cell_angle_beta 90.00
_cell_angle_gamma 90.00
loop_
_atom_site_label
_atom_site_fract_x
_atom_site_fract_y
_atom_site_fract_z
_atom_site_occupancy
Ta1 0.000 0.000 0.000 1
Si1 0.500 0.500 0.000 1
W1 0.000 0.500 0.500 1
# **Raw formation energy**: 39 meV per atom
# **DOS at the Fermi energy**: 0.867 states/eV/atom